Compound: Na2Tm2VO6
Source: the Alexandria database
Functional: GGA+U
Structure: optimized geometry Values from VASP.

Summary:
E_tot (eV per atom): -7.046
Calculated volume (A^3/atom): 14.0
Space group: C2/m

Structure (Quantum ESPRESSO input):
```
&SYSTEM
  ibrav = 0, nat = 11, ntyp = 4
/
ATOMIC_SPECIES
Na 22.99 Na.upf
Tm 168.93 Tm.upf
V 50.94 V.upf
O 16.00 O.upf
ATOMIC_POSITIONS crystal
Na 0.156 0.844 0.000
Na 0.844 0.156 0.000
Tm 0.334 0.666 0.500
Tm 0.666 0.334 0.500
V 0.000 0.000 0.500
O 0.046 0.363 0.693
O 0.234 0.234 0.314
O 0.363 0.046 0.693
O 0.637 0.954 0.307
O 0.766 0.766 0.686
O 0.954 0.637 0.307
CELL_PARAMETERS angstrom
2.814 -4.870 0.000
2.814 4.870 0.000
-1.518 0.000 5.623
```